This record from Alexandria via LeMat-Bulk describes a relaxed structure of Ba3ZrCr. The functional is PBE.

Uncorrected energy, eV per atom: -3.68
Offset from the most stable computed form, meV/atom: 0.0
DOS(E_F), states/eV per atom: 1.5013

a b c (Å): 6.267 6.267 6.267
angles (deg): 90.00 90.00 90.00
Site moments in Bohr magnetons follow the coordinates.
Positions (direct):
Cr1 0.500 0.500 0.500  -4.23
Ba1 0.000 0.500 0.000  0.08
Ba2 0.000 0.000 0.500  0.07
Ba3 0.500 0.000 0.000  0.04
Zr1 0.000 0.000 0.000  0.60

---

This record from Alexandria via LeMat-Bulk describes a relaxed structure of BaZr2Cr. The functional is PBE.

Uncorrected energy, eV per atom: -6.61
Offset from the most stable computed form, meV/atom: 168.6
DOS(E_F), states/eV per atom: 1.0840

a b c (Å): 4.274 4.274 8.417
angles (deg): 87.06 87.06 45.22
Site moments in Bohr magnetons follow the coordinates.
Positions (direct):
Ba1 0.750 0.750 0.750  -0.01
Cr1 0.250 0.250 0.250  0.85
Zr1 0.984 0.984 0.097  -0.08
Zr2 0.516 0.516 0.403  -0.08

---

This record from Alexandria via LeMat-Bulk describes a relaxed structure of BaZr2Cr. The functional is PBE.

Uncorrected energy, eV per atom: -6.37
Offset from the most stable computed form, meV/atom: 403.6
DOS(E_F), states/eV per atom: 0.6748

a b c (Å): 5.288 5.288 5.288
angles (deg): 60.00 60.00 60.00
Site moments in Bohr magnetons follow the coordinates.
Positions (direct):
Ba1 0.500 0.500 0.500  -0.02
Cr1 0.750 0.750 0.750  3.58
Zr1 0.000 0.000 0.000  -0.69
Zr2 0.250 0.250 0.250  -0.91

---

This record from Alexandria via LeMat-Bulk describes a relaxed structure of BaZr2Cr. The functional is PBE.

Uncorrected energy, eV per atom: -6.32
Offset from the most stable computed form, meV/atom: 456.5
DOS(E_F), states/eV per atom: 1.4995

a b c (Å): 5.122 4.489 4.489
angles (deg): 90.00 90.00 90.00
Site moments in Bohr magnetons follow the coordinates.
Positions (direct):
Ba1 0.500 0.500 0.000  -0.06
Cr1 0.500 0.000 0.500  3.51
Zr1 0.000 0.000 0.000  -0.34
Zr2 0.000 0.500 0.500  -0.34

---

This record from Alexandria via LeMat-Bulk describes a relaxed structure of Ba2ZrCr. The functional is PBE.

Uncorrected energy, eV per atom: -4.87
Offset from the most stable computed form, meV/atom: 100.5
DOS(E_F), states/eV per atom: 1.2718

a b c (Å): 4.878 4.878 9.609
angles (deg): 76.64 76.64 47.19
Site moments in Bohr magnetons follow the coordinates.
Positions (direct):
Ba1 0.980 0.980 0.090  0.00
Ba2 0.826 0.826 0.660  0.00
Cr1 0.492 0.492 0.375  2.93
Zr1 0.202 0.202 0.375  -0.36

---

This record from Alexandria via LeMat-Bulk describes a relaxed structure of Ba2ZrCr. The functional is PBE.

Uncorrected energy, eV per atom: -4.83
Offset from the most stable computed form, meV/atom: 139.2
DOS(E_F), states/eV per atom: 1.1895

a b c (Å): 7.103 7.103 7.103
angles (deg): 149.06 129.06 60.80
Site moments in Bohr magnetons follow the coordinates.
Positions (direct):
Ba1 0.010 0.010 0.000  -0.01
Ba2 0.715 0.215 0.500  -0.08
Cr1 0.467 0.467 0.000  3.43
Zr1 0.309 0.809 0.500  -0.68